Entry from Alexandria: a relaxed structure of Y2TiCoO6 (GGA+U).

## Properties
Volume (Å³/atom): 11.7
Total magnetization (μB/cell): 6.077
Symmetry: P2_1/c, No. 14
Electronic total energy (eV per atom): -8.4934

Lattice parameters (Å, degrees): 5.329 5.675 7.709 90.00 89.25 90.00
Last column: magnetic moment on the atom in μB.
Fractional coordinates of all 20 atoms:
1 O 0.882 0.545 0.242  0.04
2 O 0.700 0.314 0.944  0.04
3 O 0.181 0.206 0.065  0.04
4 O 0.681 0.294 0.565  0.04
5 O 0.382 0.955 0.742  0.04
6 O 0.319 0.706 0.435  0.04
7 O 0.118 0.455 0.758  0.04
8 O 0.618 0.045 0.258  0.04
9 O 0.300 0.686 0.056  0.04
10 O 0.800 0.814 0.556  0.04
11 O 0.819 0.794 0.935  0.04
12 O 0.200 0.186 0.444  0.04
13 Y 0.479 0.429 0.247  0.00
14 Y 0.021 0.929 0.253  0.00
15 Y 0.979 0.071 0.747  0.00
16 Y 0.521 0.571 0.753  0.00
17 Co 0.000 0.500 0.500  2.71
18 Co 0.500 0.000 0.000  2.71
19 Ti 0.500 0.000 0.500  0.05
20 Ti 0.000 0.500 0.000  0.05